# CePmNdLu

Crystalline CePmNdLu at its relaxed geometry (PBE-GGA, the Alexandria database).

Structure (extended XYZ):
```
4
Lattice="5.719 0.000 0.000 2.860 4.953 0.000 2.860 1.651 4.670" Properties=species:S:1:pos:R:3 pbc="T T T"
Lu 0.000 0.000 0.000
Nd 2.860 1.651 1.167
Pm 8.579 4.953 3.502
Ce 5.719 3.302 2.335
```

Summary:
The space group is F-43m. For the energy of formation from the pure elements, the calculation gives 195 meV per atom. The calculation puts the spin magnetization at 3.152 μB/f.u.


# HfBIO2

Crystalline HfBIO2 at its relaxed geometry (PBE-GGA, the Alexandria database).

Structure (extended XYZ):
```
5
Lattice="-0.079 -3.944 0.189 0.077 -0.191 -3.944 4.392 -0.084 0.090" Properties=species:S:1:pos:R:3 pbc="T T T"
O -0.039 -1.972 0.095
O 0.039 -0.095 -1.972
Hf 2.195 -2.109 -1.832
I 2.196 -0.042 0.045
B 0.000 0.000 0.000
```

Summary:
The space group is P4/mmm. The calculation puts the spin magnetization at 0.000 μB/f.u. As for the raw formation energy: 0.30 eV per atom.


# Tb2Pr5NdSc

Crystalline Tb2Pr5NdSc at its relaxed geometry (PBE-GGA, the Alexandria database).

Structure (extended XYZ):
```
18
Lattice="-3.088 -1.352 -4.266 -5.361 -4.741 8.848 -5.555 8.661 1.275" Properties=species:S:1:pos:R:3 pbc="T T T"
Nd -8.322 0.083 5.997
Nd -2.991 -1.709 -0.758
Pr -2.846 4.380 0.671
Pr -7.717 3.020 4.629
Pr -5.615 -0.226 4.136
Pr -8.333 -3.183 7.041
Pr -8.468 -6.006 4.568
Pr -9.177 4.024 1.902
Pr -5.199 -3.975 5.023
Pr -6.116 2.351 0.217
Pr -5.697 -1.370 1.093
Pr -5.756 5.884 -1.164
Tb -11.050 1.711 3.991
Tb -5.829 5.313 2.535
Tb -3.023 0.964 1.882
Tb -8.278 -2.583 3.346
Sc -3.010 -2.245 2.891
Sc -8.315 0.637 2.352
```

Summary:
The space group is Cmc2_1. For the energy of formation from the pure elements, the calculation gives 125 meV per atom. The calculation puts the spin magnetization at 0.000 μB/f.u.


# Zn5In12Hg3

Crystalline Zn5In12Hg3 at its relaxed geometry (PBE-GGA, the Alexandria database).

Structure (extended XYZ):
```
80
Lattice="-12.534 -6.756 1.330 10.292 -7.791 6.155 -0.770 12.774 6.382" Properties=species:S:1:pos:R:3 pbc="T T T"
In -4.227 -0.704 7.306
In 1.215 -1.069 6.560
In 3.565 -3.148 7.797
In -3.506 -5.682 9.861
In 0.494 3.909 4.006
In -4.234 5.548 8.681
In -7.466 -1.787 2.565
In -5.076 0.924 2.991
In 2.527 -3.047 3.108
In 0.360 0.850 2.594
In -11.293 4.161 7.420
In 5.445 0.582 8.130
In -7.807 -5.187 2.056
In 5.223 4.007 8.520
In -0.385 -4.621 3.751
In -2.438 -0.674 4.352
In 0.019 5.584 8.143
In -2.114 10.397 6.727
In 1.715 2.093 10.973
In 4.042 -5.477 5.042
In -1.949 1.820 6.692
In -3.372 -2.623 11.273
In -7.054 3.704 8.825
In -4.727 -3.866 2.894
In 1.222 -7.321 5.186
In -1.325 -9.086 8.434
In -8.457 -2.355 5.737
In -6.122 -8.695 5.873
In 3.110 6.922 7.994
In 8.032 -3.085 8.233
In 4.795 3.414 11.811
In -4.206 3.628 4.957
In 2.065 -2.697 10.876
In -0.574 -1.099 9.515
In -6.577 1.375 6.070
In 4.454 0.014 11.302
In -8.235 -5.780 5.347
In -1.687 7.313 5.433
In -5.428 -3.953 6.191
In 1.194 -5.401 8.910
In -0.897 -12.170 7.140
In 8.281 -5.934 6.447
In -3.031 -7.357 5.724
In -11.044 1.312 5.634
In 2.416 2.180 7.676
In -1.062 -3.593 7.175
In -5.539 1.274 10.759
In -2.627 2.848 10.116
Hg -0.876 -3.900 10.372
Hg -5.549 -1.380 4.763
Hg -3.344 -10.158 6.578
Hg 6.861 1.919 10.339
Hg 1.540 -4.209 5.941
Hg -5.637 -6.392 4.103
Hg 0.333 8.385 7.289
Hg -4.552 2.436 7.926
Hg -2.136 2.127 3.495
Hg 2.537 -0.393 9.104
Hg 2.625 4.619 9.764
Hg -9.873 -3.692 3.528
Zn -8.788 5.137 7.351
Zn -6.652 3.009 3.856
Zn 5.863 -1.898 7.176
Zn 2.100 -0.573 4.070
Zn -0.789 1.112 11.032
Zn 4.761 2.492 6.269
Zn -3.991 6.073 6.055
Zn 5.776 -6.910 6.516
Zn -1.506 -0.887 6.933
Zn -6.267 -3.378 0.665
Zn 5.146 -3.896 3.078
Zn 0.979 -7.846 7.812
Zn 0.245 3.373 6.629
Zn -3.257 -5.146 7.238
Zn -0.385 6.387 3.191
Zn -2.223 -2.885 2.835
Zn -5.112 -1.200 9.797
Zn -1.121 -7.274 3.742
Zn 0.000 0.000 0.000
Zn -8.875 0.125 6.691
```

Summary:
The space group is Ia-3d. For the energy of formation from the pure elements, the calculation gives 169 meV per atom. The calculation puts the spin magnetization at 0.000 μB/f.u.


# BaIn4

Crystalline BaIn4 at its relaxed geometry (PBE-GGA, the Alexandria database).

Structure (extended XYZ):
```
5
Lattice="7.105 0.039 0.000 3.509 6.178 0.000 -5.307 -3.108 3.558" Properties=species:S:1:pos:R:3 pbc="T T T"
In 4.072 2.385 0.000
In 3.553 0.019 1.779
In 6.542 3.832 0.000
In 1.755 3.089 1.779
Ba 0.000 0.000 0.000
```

Summary:
The space group is I4/mmm. For the energy of formation from the pure elements, the calculation gives -352 meV per atom. The calculation puts the spin magnetization at 0.000 μB/f.u.


# Nd2Dy2Er15

Crystalline Nd2Dy2Er15 at its relaxed geometry (PBE-GGA, the Alexandria database).

Structure (extended XYZ):
```
19
Lattice="8.349 -0.590 2.228 1.559 8.223 2.228 -0.766 -0.590 8.607" Properties=species:S:1:pos:R:3 pbc="T T T"
Er 1.775 4.735 7.188
Er 0.853 5.544 4.167
Er 6.285 2.089 2.228
Er 5.578 -0.590 4.167
Er -0.383 -0.295 4.303
Er 2.997 2.309 8.933
Er 4.174 -0.295 1.114
Er 2.005 -0.590 6.668
Er -0.059 2.089 6.668
Er 5.031 0.509 7.188
Er 4.111 6.534 5.875
Er 3.623 5.544 2.228
Er 7.367 2.309 5.875
Er 0.780 4.111 1.114
Er 6.146 4.735 4.130
Nd 8.071 6.218 11.533
Nd 1.071 0.825 1.530
Dy 3.012 2.320 4.304
Dy 6.130 4.723 8.759
```

Summary:
The space group is R-3m. For the energy of formation from the pure elements, the calculation gives 294 meV per atom. The calculation puts the spin magnetization at 0.000 μB/f.u.


# Li3TiRe

Crystalline Li3TiRe at its relaxed geometry (PBE-GGA, the Alexandria database).

Structure (extended XYZ):
```
5
Lattice="4.505 0.000 0.000 0.000 4.505 0.000 0.000 0.000 4.505" Properties=species:S:1:pos:R:3 pbc="T T T"
Li 0.000 2.253 0.000
Li 2.253 0.000 0.000
Li 0.000 0.000 2.253
Ti 2.253 2.253 2.253
Re 0.000 0.000 0.000
```

Summary:
The space group is Pm-3m. For the energy of formation from the pure elements, the calculation gives 1579 meV per atom. The calculation puts the spin magnetization at 0.002 μB/f.u.


# Sc2Ga2Ag3

Crystalline Sc2Ga2Ag3 at its relaxed geometry (PBE-GGA, the Alexandria database).

Structure (extended XYZ):
```
7
Lattice="3.225 0.000 0.000 0.000 4.156 0.000 0.000 -2.078 9.691" Properties=species:S:1:pos:R:3 pbc="T T T"
Sc 0.000 0.000 3.050
Sc 0.000 2.078 6.641
Ag 1.612 0.000 8.292
Ag 0.000 0.000 0.000
Ag 1.612 2.078 1.400
Ga 1.612 2.078 4.126
Ga 1.612 0.000 5.566
```

Summary:
The space group is Cmmm. For the energy of formation from the pure elements, the calculation gives -328 meV per atom. The calculation puts the spin magnetization at 0.000 μB/f.u.


# Nd3Ho2Pb4

Crystalline Nd3Ho2Pb4 at its relaxed geometry (PBE-GGA, the Alexandria database).

Structure (extended XYZ):
```
9
Lattice="4.935 0.000 -1.379 -0.500 6.665 -1.789 -0.242 0.041 8.651" Properties=species:S:1:pos:R:3 pbc="T T T"
Ho 3.171 0.518 1.827
Ho 1.022 6.188 3.655
Pb 0.944 1.892 3.378
Pb 1.838 4.813 6.575
Pb 3.248 4.815 2.104
Pb 2.355 1.893 -1.093
Nd 3.954 2.826 4.630
Nd 0.000 0.000 0.000
Nd 0.238 3.880 0.852
```

Summary:
The space group is C2/m. For the energy of formation from the pure elements, the calculation gives -467 meV per atom. The calculation puts the spin magnetization at 0.000 μB/f.u.


# La2Cu2Si

Crystalline La2Cu2Si at its relaxed geometry (PBE-GGA, the Alexandria database).

Structure (extended XYZ):
```
5
Lattice="3.538 0.000 0.000 0.000 3.538 0.000 1.769 1.769 8.967" Properties=species:S:1:pos:R:3 pbc="T T T"
La 3.538 3.538 7.076
La 1.769 1.769 1.891
Cu 3.538 1.769 4.483
Cu 1.769 3.538 4.483
Si 0.000 0.000 0.000
```

Summary:
The space group is I4/mmm. The calculation puts the spin magnetization at 0.000 μB/f.u. As for the raw formation energy: -0.20 eV per atom.


# Rb2BiPbF8

Crystalline Rb2BiPbF8 at its relaxed geometry (PBE-GGA, the Alexandria database).

Structure (extended XYZ):
```
12
Lattice="-0.679 0.601 6.128 -1.890 -5.888 0.368 6.611 0.980 -2.494" Properties=species:S:1:pos:R:3 pbc="T T T"
F 4.321 0.392 1.699
F -0.484 -4.095 5.087
F 0.624 -2.037 1.793
F 0.276 -1.728 4.939
F 4.594 0.150 -0.764
F -0.136 -4.404 1.941
F 3.350 -2.631 1.888
F 3.623 -2.872 -0.575
Rb 2.324 -0.531 3.441
Rb 0.000 0.000 0.000
Bi 1.718 -3.775 0.561
Pb -1.285 -2.643 3.248
```

Summary:
The space group is I-4m2. The calculation puts the spin magnetization at 0.000 μB/f.u. As for the raw formation energy: -2.42 eV per atom.


# TiCr

Crystalline TiCr at its relaxed geometry (PBE-GGA, the Alexandria database).

Structure (extended XYZ):
```
8
Lattice="4.974 0.000 0.000 0.000 4.974 0.000 0.000 0.000 4.974" Properties=species:S:1:pos:R:3 pbc="T T T"
Ti 0.000 0.000 0.000
Ti 0.000 2.487 2.487
Ti 2.487 0.000 2.487
Ti 2.487 2.487 0.000
Cr 0.000 0.000 2.487
Cr 0.000 2.487 0.000
Cr 2.487 0.000 0.000
Cr 2.487 2.487 2.487
```

Summary:
The space group is Fm-3m. For the energy of formation from the pure elements, the calculation gives 909 meV per atom. The calculation puts the spin magnetization at 0.668 μB/f.u.